Entry 1:
The following is a DFT calculation (PBE-GGA) of crystalline LaMnNi at its relaxed geometry.

POSCAR file:
```
LaMnNi
1.0
-1.480 3.228 2.896
-0.062 -0.820 4.508
2.969 2.139 2.759
La Mn Ni
1 1 1
Cartesian
0.000 0.000 0.000
0.713 2.274 5.081
1.070 3.410 7.622
```

Computed properties:
Uncorrected energy: -6.4598 eV per atom
Calculated volume: 22.7 Å³/atom

***

Entry 2:
The following is a DFT calculation (PBE-GGA) of crystalline La2MnNi at its relaxed geometry.

POSCAR file:
```
La2MnNi
1.0
-2.675 1.424 1.443
0.826 -1.416 2.929
4.679 6.797 1.965
La Mn Ni
2 1 1
Cartesian
4.311 6.262 1.811
0.540 2.131 2.801
2.666 3.874 1.120
2.332 4.735 3.554
```

Computed properties:
Uncorrected energy: -6.0924 eV per atom
Calculated volume: 23.9 Å³/atom

***

Entry 3:
The following is a DFT calculation (PBE-GGA) of crystalline La2Mn2Ni15 at its relaxed geometry.

POSCAR file:
```
La2Mn2Ni15
1.0
-5.180 -2.561 -2.691
1.428 -6.101 1.175
-3.444 -0.610 5.329
La Mn Ni
2 2 15
Cartesian
-2.494 -3.214 1.322
-4.702 -6.058 2.492
-0.729 -0.939 0.386
-6.468 -8.333 3.427
-2.590 -1.281 -1.346
-1.722 -0.305 2.665
0.714 -3.050 0.587
0.015 -4.508 2.380
-3.264 -3.588 -1.570
-3.948 -1.176 3.003
-0.488 -5.074 0.054
-4.677 -1.995 -0.365
-2.031 -2.203 4.124
-2.111 -4.807 3.877
-2.992 -5.797 -0.193
-5.464 -3.011 1.915
-5.086 -4.466 -0.063
-4.205 -3.476 4.006
-1.733 -6.261 1.898
```

Computed properties:
Uncorrected energy: -6.2313 eV per atom
Calculated volume: 13.3 Å³/atom

***

Which of these has the highest calculated volume? La2MnNi